# 1
PBE MnCd2P, relaxed; energy relative to the elements = 6.85 kcal/mol of atoms
1.0
4.7540 0.0000 0.0000
0.0000 2.9789 0.0000
-1.8884 0.0000 5.2640
Mn Cd P
1 2 1
direct
0.0000 0.0000 0.0000
0.0000 0.5000 0.5000
0.5000 0.0000 0.5000
0.5000 0.5000 0.0000

---

# 2
PBE MnCd2P, relaxed; energy relative to the elements = 9.46 kcal/mol of atoms
1.0
3.0292 0.0000 0.0000
-1.5146 2.6233 0.0000
0.0000 0.0000 28.2077
Mn Cd P
3 6 3
direct
0.0000 0.0000 0.0000
0.3333 0.6667 0.6667
0.6667 0.3333 0.3333
0.0000 0.0000 0.2512
0.0000 0.0000 0.7488
0.3333 0.6667 0.4155
0.3333 0.6667 0.9178
0.6667 0.3333 0.0822
0.6667 0.3333 0.5845
0.0000 0.0000 0.5000
0.3333 0.6667 0.1667
0.6667 0.3333 0.8333